[1]
Material: YTaW4
Method: DFT, GGA-PBE
State: optimized geometry

Cell: 5.416 5.416 5.416 Å, 60.00 60.00 60.00°
Positions (direct):
Y 0.750 0.750 0.750
Ta 0.000 0.000 0.000
W 0.875 0.375 0.375
W 0.375 0.375 0.875
W 0.375 0.875 0.375
W 0.375 0.375 0.375

Output
The calculation puts the density at 14.863 Mg/m³. The formation energy is 0.088 eV/atom. As for the volume: 112 Å³/cell.

=====

[2]
Material: Ta2TlTc
Method: DFT, GGA-PBE
State: optimized geometry

Cell: 3.435 3.435 6.248 Å, 90.00 90.00 90.00°
Positions (direct):
Ta 0.000 0.000 0.027
Ta 0.500 0.500 0.256
Tc 0.000 0.000 0.472
Tl 0.500 0.500 0.744

Output
The calculation puts the density at 14.964 Mg/m³. Its energy above the most stable polymorph in this dataset is 58 meV/atom. The formation energy is 0.232 eV/atom. As for the volume: 74 Å³/cell.

=====

[3]
Material: Ce5Ta2O12
Method: DFT, GGA-PBE
State: optimized geometry

Cell: 6.015 7.048 7.766 Å, 105.89 90.00 115.26°
Each line ends with the local moment (μB).
Positions (direct):
Ce 0.309 0.618 0.642  0.71
Ce 0.311 0.621 0.168  -0.72
Ce 0.000 0.000 0.500  0.69
Ce 0.689 0.379 0.832  -0.72
Ce 0.691 0.382 0.358  0.71
Ta 0.776 0.000 0.000  -0.03
Ta 0.224 0.000 0.000  -0.03
O 0.999 0.998 0.201  -0.01
O 0.099 0.674 0.917  0.01
O 0.575 0.674 0.917  0.01
O 0.094 0.686 0.423  -0.01
O 0.592 0.686 0.423  -0.01
O 0.501 0.002 0.820  0.00
O 0.499 0.998 0.180  0.00
O 0.906 0.314 0.577  -0.01
O 0.408 0.314 0.577  -0.01
O 0.901 0.326 0.083  0.01
O 0.425 0.326 0.083  0.01
O 0.001 0.002 0.799  -0.01

Output
The calculation puts the density at 7.341 Mg/m³. As for the volume: 284 Å³/cell. The calculation puts the uncorrected formation energy at -3206.4 meV per atom.

=====

[4]
Material: PmDy2Ho
Method: DFT, GGA-PBE
State: optimized geometry

Cell: 5.682 5.682 5.682 Å, 60.00 60.00 60.00°
Positions (direct):
Pm 0.500 0.500 0.500
Ho 0.000 0.000 0.000
Dy 0.250 0.250 0.250
Dy 0.750 0.750 0.750

Output
The calculation puts the density at 8.128 Mg/m³. Its energy above the most stable polymorph in this dataset is 128 meV/atom. The formation energy is 0.142 eV/atom. As for the volume: 130 Å³/cell.

=====

[5]
Material: NaCu2I4
Method: DFT, GGA-PBE
State: optimized geometry

Cell: 5.932 5.932 7.468 Å, 90.00 90.00 90.00°
Positions (direct):
Na 0.000 0.000 0.000
Cu 0.500 0.000 0.500
Cu 0.000 0.500 0.500
I 0.741 0.259 0.707
I 0.259 0.259 0.293
I 0.259 0.741 0.707
I 0.741 0.741 0.293

Output
The calculation puts the density at 4.155 Mg/m³. As for the volume: 263 Å³/cell. The calculation puts the uncorrected formation energy at -425.9 meV per atom.

=====

[6]
Material: MnZn2Ir
Method: DFT, GGA-PBE
State: optimized geometry

Cell: 2.701 2.701 8.672 Å, 90.00 90.00 115.82°
Each line ends with the local moment (μB).
Positions (direct):
Ir 0.500 0.500 0.250  -0.05
Mn 0.500 0.500 0.750  3.05
Zn 0.000 0.000 0.998  -0.03
Zn 0.000 0.000 0.502  -0.03

Output
The calculation puts the density at 11.019 Mg/m³. The formation energy is 0.056 eV/atom. As for the volume: 57 Å³/cell.

=====

[7]
Material: CuSb2Os
Method: DFT, GGA-PBE
State: optimized geometry

Cell: 4.743 4.743 4.743 Å, 60.00 60.00 60.00°
Positions (direct):
Cu 0.500 0.500 0.500
Os 0.750 0.750 0.750
Sb 0.000 0.000 0.000
Sb 0.250 0.250 0.250

Output
The calculation puts the density at 10.945 Mg/m³. Its energy above the most stable polymorph in this dataset is 537 meV/atom. As for the volume: 75 Å³/cell. The calculation puts the uncorrected formation energy at 835.0 meV per atom.

=====

[8]
Material: CsLaSi2S
Method: DFT, GGA-PBE
State: optimized geometry

Cell: 4.936 5.742 4.936 Å, 90.00 90.00 90.00°
Positions (direct):
Cs 0.000 0.500 0.000
S 0.000 0.000 0.000
Si 0.000 0.000 0.500
Si 0.500 0.000 0.000
La 0.500 0.500 0.500

Output
The calculation puts the density at 4.274 Mg/m³. As for the volume: 140 Å³/cell. The calculation puts the uncorrected formation energy at 446.8 meV per atom.

=====

[9]
Material: RbCaTa
Method: DFT, GGA-PBE
State: optimized geometry

Cell: 5.125 5.125 9.917 Å, 90.00 90.00 90.00°
Each line ends with the local moment (μB).
Positions (direct):
Ca 0.000 0.000 0.500  0.16
Ca 0.500 0.500 0.500  0.16
Rb 0.000 0.500 0.139  0.04
Rb 0.500 0.000 0.861  0.04
Ta 0.000 0.500 0.713  2.27
Ta 0.500 0.000 0.287  2.27

Output
The calculation puts the density at 3.908 Mg/m³. Its energy above the most stable polymorph in this dataset is 1206 meV/atom. The formation energy is 1.604 eV/atom. As for the volume: 260 Å³/cell.

=====

[10]
Material: Ac6ZnIn2
Method: DFT, GGA-PBE
State: optimized geometry

Cell: 5.583 7.897 9.620 Å, 114.23 106.86 90.00°
Positions (direct):
Ac 0.162 0.407 0.324
Ac 0.838 0.082 0.676
Ac 0.838 0.593 0.676
Ac 0.500 0.236 0.000
Ac 0.162 0.918 0.324
Ac 0.500 0.764 0.000
Zn 0.000 0.000 0.000
In 0.665 0.665 0.331
In 0.335 0.335 0.669

Output
The calculation puts the density at 7.503 Mg/m³. The formation energy is -0.079 eV/atom. As for the volume: 367 Å³/cell.

=====

[11]
Material: La2OsAu
Method: DFT, GGA-PBE
State: optimized geometry

Cell: 8.022 8.022 6.501 Å, 51.90 51.90 90.00°
Positions (direct):
Os 0.500 0.500 0.000
Os 0.250 0.750 0.500
Au 0.000 0.000 0.000
Au 0.750 0.250 0.500
La 0.588 0.125 0.250
La 0.162 0.625 0.250
La 0.375 0.412 0.750
La 0.875 0.838 0.750

Output
The calculation puts the density at 10.809 Mg/m³. The formation energy is -0.088 eV/atom. As for the volume: 204 Å³/cell.

=====

[12]
Material: HfRe2SeS
Method: DFT, GGA-PBE
State: optimized geometry

Cell: 5.065 5.065 4.901 Å, 90.00 90.00 90.00°
Each line ends with the local moment (μB).
Positions (direct):
Re 0.000 0.500 0.000  2.14
Re 0.500 0.000 0.000  2.14
S 0.500 0.500 0.500  -0.23
Hf 0.000 0.000 0.000  -0.12
Se 0.000 0.000 0.500  0.13

Output
The calculation puts the density at 8.741 Mg/m³. As for the volume: 126 Å³/cell. The calculation puts the uncorrected formation energy at 2132.6 meV per atom.

=====

[13]
Material: LiSmTlSn
Method: DFT, GGA-PBE
State: optimized geometry

Cell: 5.247 5.247 5.247 Å, 60.00 60.00 60.00°
Positions (direct):
Tl 0.750 0.750 0.750
Sn 0.250 0.250 0.250
Sm 0.000 0.000 0.000
Li 0.500 0.500 0.500

Output
The calculation puts the density at 7.812 Mg/m³. Its energy above the most stable polymorph in this dataset is 61 meV/atom. The formation energy is -0.396 eV/atom. As for the volume: 102 Å³/cell.

=====

[14]
Material: La4N2O
Method: DFT, GGA-PBE
State: optimized geometry

Cell: 3.677 3.677 12.950 Å, 81.84 81.84 60.00°
Each line ends with the local moment (μB).
Positions (direct):
La 0.116 0.116 0.651  0.10
La 0.293 0.293 0.122  0.04
La 0.707 0.707 0.878  0.04
La 0.884 0.884 0.349  0.10
N 0.413 0.413 0.761  -0.01
N 0.587 0.587 0.239  -0.01
O 0.000 0.000 0.000  0.00

Output
The calculation puts the density at 6.655 Mg/m³. As for the volume: 150 Å³/cell. The calculation puts the uncorrected formation energy at -1616.1 meV per atom.

=====

[15]
Material: Ba12Sr5Ca2
Method: DFT, GGA-PBE
State: optimized geometry

Cell: 6.843 14.511 14.511 Å, 55.82 76.39 76.39°
Positions (direct):
Ba 0.099 0.901 0.901
Ba 0.199 0.547 0.055
Ba 0.199 0.055 0.547
Ba 0.593 0.643 0.171
Ba 0.593 0.171 0.643
Ba 0.092 0.410 0.410
Ba 0.908 0.590 0.590
Ba 0.407 0.357 0.829
Ba 0.407 0.829 0.357
Ba 0.801 0.453 0.945
Ba 0.801 0.945 0.453
Ba 0.901 0.099 0.099
Sr 0.305 0.197 0.197
Sr 0.708 0.293 0.293
Sr 0.500 0.000 0.000
Sr 0.292 0.707 0.707
Sr 0.695 0.803 0.803
Ca 0.000 0.231 0.769
Ca 0.000 0.769 0.231

Output
The calculation puts the density at 3.130 Mg/m³. The formation energy is 0.053 eV/atom. As for the volume: 1149 Å³/cell.

=====

[16]
Material: La6Pt2IBr3
Method: DFT, GGA-PBE
State: optimized geometry

Cell: 4.263 9.215 9.931 Å, 99.82 102.39 90.00°
Positions (direct):
La 0.320 0.878 0.640
La 0.673 0.549 0.345
La 0.680 0.122 0.360
La 0.016 0.274 0.032
La 0.984 0.726 0.968
La 0.327 0.451 0.655
Pt 0.830 0.672 0.660
Pt 0.170 0.328 0.340
I 0.500 0.000 0.000
Br 0.500 0.500 0.000
Br 0.847 0.174 0.695
Br 0.153 0.826 0.305

Output
The calculation puts the density at 7.039 Mg/m³. As for the volume: 375 Å³/cell. The calculation puts the uncorrected formation energy at -1245.5 meV per atom.

=====

[17]
Material: PrMgP2Rh5
Method: DFT, GGA-PBE
State: optimized geometry

Cell: 4.163 4.163 9.413 Å, 90.00 90.00 90.00°
Positions (direct):
Pr 0.000 0.000 0.500
Mg 0.000 0.000 0.000
P 0.500 0.500 0.260
P 0.500 0.500 0.740
Rh 0.000 0.500 0.168
Rh 0.500 0.000 0.168
Rh 0.000 0.500 0.832
Rh 0.500 0.000 0.832
Rh 0.500 0.500 0.500

Output
The calculation puts the density at 7.551 Mg/m³. The formation energy is -0.613 eV/atom. As for the volume: 163 Å³/cell.

=====

[18]
Material: HoThAg4
Method: DFT, GGA-PBE
State: optimized geometry

Cell: 5.358 5.367 5.451 Å, 60.50 90.01 90.03°
Positions (direct):
Ho 0.001 0.502 0.495
Th 0.501 0.002 0.495
Ag 0.501 0.672 0.156
Ag 0.501 0.332 0.835
Ag 0.001 0.178 0.142
Ag 0.001 0.825 0.849

Output
The calculation puts the density at 10.083 Mg/m³. Its energy above the most stable polymorph in this dataset is 0 meV/atom. The formation energy is -0.162 eV/atom. As for the volume: 136 Å³/cell.

=====

[19]
Material: SbTe
Method: DFT, GGA-PBE
State: optimized geometry

Cell: 5.403 5.403 5.403 Å, 60.00 60.00 60.00°
Positions (direct):
Sb 0.000 0.000 0.000
Sb 0.250 0.250 0.250
Te 0.500 0.500 0.500
Te 0.750 0.750 0.750

Output
The calculation puts the density at 7.424 Mg/m³. Its energy above the most stable polymorph in this dataset is 366 meV/atom. As for the volume: 112 Å³/cell. The calculation puts the uncorrected formation energy at 260.8 meV per atom.

=====

[20]
Material: Li3Sn3Hg2
Method: DFT, GGA-PBE
State: optimized geometry

Cell: 4.512 4.462 9.529 Å, 74.75 72.74 89.53°
Positions (direct):
Li 0.364 0.864 0.255
Li 0.500 0.500 0.000
Li 0.636 0.136 0.745
Sn 0.874 0.364 0.246
Sn 0.126 0.636 0.754
Sn 0.000 0.000 0.000
Hg 0.754 0.741 0.505
Hg 0.246 0.259 0.495

Output
The calculation puts the density at 7.331 Mg/m³. Its energy above the most stable polymorph in this dataset is 47 meV/atom. The formation energy is -0.232 eV/atom. As for the volume: 176 Å³/cell.

=====

[21]
Material: Sm4AlHg
Method: DFT, GGA-PBE
State: optimized geometry

Cell: 5.321 6.516 11.606 Å, 90.00 103.25 90.00°
Positions (direct):
Sm 0.874 0.293 0.747
Sm 0.126 0.793 0.253
Sm 0.435 0.857 0.870
Sm 0.565 0.357 0.130
Sm 0.715 0.549 0.430
Sm 0.285 0.049 0.570
Sm 0.694 0.069 0.389
Sm 0.306 0.569 0.611
Al 0.837 0.812 0.675
Al 0.163 0.312 0.325
Hg 0.569 0.853 0.138
Hg 0.431 0.353 0.862

Output
The calculation puts the density at 7.029 Mg/m³. Its energy above the most stable polymorph in this dataset is 167 meV/atom. The formation energy is -0.076 eV/atom. As for the volume: 392 Å³/cell.

=====

[22]
Material: La2Ho8Th3
Method: DFT, GGA-PBE
State: optimized geometry

Cell: 5.480 7.880 11.085 Å, 110.82 90.06 90.00°
Positions (direct):
La 0.498 0.239 0.478
La 0.502 0.761 0.522
Ho 0.001 0.660 0.320
Ho 0.999 0.340 0.680
Ho 0.000 0.120 0.240
Ho 0.000 0.880 0.760
Ho 0.499 0.601 0.792
Ho 0.499 0.191 0.792
Ho 0.501 0.809 0.208
Ho 0.501 0.399 0.208
Th 0.500 0.000 0.000
Th 0.000 0.298 0.000
Th 0.000 0.702 0.000

Output
The calculation puts the density at 8.511 Mg/m³. The formation energy is 0.267 eV/atom. As for the volume: 447 Å³/cell.

=====

[23]
Material: MnAsCl2
Method: DFT, GGA-PBE
State: optimized geometry

Cell: 5.170 5.170 4.521 Å, 66.54 66.54 107.68°
Each line ends with the local moment (μB).
Positions (direct):
As 0.000 0.500 0.500  -0.05
Mn 0.500 0.000 0.500  4.38
Cl 0.000 0.000 0.000  0.03
Cl 0.500 0.500 0.000  0.03

Output
The calculation puts the density at 3.924 Mg/m³. Its energy above the most stable polymorph in this dataset is 399 meV/atom. As for the volume: 85 Å³/cell. The calculation puts the uncorrected formation energy at -20.9 meV per atom.

=====

[24]
Material: CuTc4Ru
Method: DFT, GGA-PBE
State: optimized geometry

Cell: 5.050 5.050 5.050 Å, 60.00 60.00 60.00°
Positions (direct):
Cu 0.750 0.750 0.750
Tc 0.872 0.376 0.376
Tc 0.376 0.376 0.872
Tc 0.376 0.872 0.376
Tc 0.376 0.376 0.376
Ru 0.000 0.000 0.000

Output
The calculation puts the density at 10.147 Mg/m³. The formation energy is 0.469 eV/atom. As for the volume: 91 Å³/cell.